A plane-wave DFT calculation with PBE was carried out for a relaxed structure of Nd2IrO5.

abc: 5.565 5.565 5.260
angles: 121.95 121.95 90.00
Sites, in units of the cell vectors:
O1 0.752 0.752 0.504
O2 0.751 0.253 0.004
O3 0.253 0.751 0.004
O4 0.751 0.751 0.004
O5 0.253 0.253 0.004
Nd1 0.746 0.246 0.493
Nd2 0.246 0.746 0.493
Ir1 0.024 0.024 0.048

Values from the calculation:
Formation energy (no corrections) = -1.961 eV per atom

A plane-wave DFT calculation with PBE was carried out for a relaxed structure of Zr2NbReH.

abc: 4.673 4.673 3.625
angles: 90.00 90.00 90.00
Sites, in units of the cell vectors:
Zr1 0.000 0.500 0.000
Zr2 0.500 0.000 0.000
Re1 0.500 0.500 0.500
Nb1 0.000 0.000 0.500
H1 0.000 0.000 0.000

A plane-wave DFT calculation with PBE was carried out for a relaxed structure of CaAlS2.

abc: 6.012 6.012 6.944
angles: 64.35 64.35 90.00
Last column: magnetic moment on the atom in μB.
Sites, in units of the cell vectors:
Al1 0.500 0.500 0.000  0.05
Al2 0.250 0.750 0.500  0.05
S1 0.187 0.625 0.250  0.01
S2 0.875 0.813 0.750  0.01
S3 0.375 0.437 0.750  0.01
S4 0.563 0.125 0.250  0.01
Ca1 0.000 0.000 0.000  0.07
Ca2 0.750 0.250 0.500  0.07

Values from the calculation:
Formation energy (no corrections) = -1.090 eV per atom

A plane-wave DFT calculation with PBE was carried out for a relaxed structure of SrEuIrAu.

abc: 5.181 5.181 5.181
angles: 60.00 60.00 60.00
Last column: magnetic moment on the atom in μB.
Sites, in units of the cell vectors:
Au1 0.000 0.000 0.000  0.00
Ir1 0.500 0.500 0.500  -0.20
Eu1 0.250 0.250 0.250  6.74
Sr1 0.750 0.750 0.750  0.01

Values from the calculation:
ΔE_f = -0.40 eV per atom

A plane-wave DFT calculation with PBE was carried out for a relaxed structure of BeTc3Rh.

abc: 4.633 4.633 4.633
angles: 90.00 90.00 90.00
Last column: magnetic moment on the atom in μB.
Sites, in units of the cell vectors:
Tc1 0.500 0.000 0.000  0.45
Tc2 0.000 0.500 0.000  0.46
Tc3 0.000 0.000 0.500  0.34
Be1 0.500 0.500 0.500  -0.04
Rh1 0.000 0.000 0.000  -0.05

Values from the calculation:
ΔE_f = 2.12 eV per atom

A plane-wave DFT calculation with PBE was carried out for a relaxed structure of Tb2TlRu.

abc: 3.653 3.653 9.187
angles: 78.53 78.53 60.00
Sites, in units of the cell vectors:
Tl1 0.500 0.500 0.500
Tb1 0.735 0.735 0.795
Tb2 0.265 0.265 0.205
Ru1 0.000 0.000 0.000

Values from the calculation:
ΔE_f = -0.21 eV per atom

A plane-wave DFT calculation with PBE was carried out for a relaxed structure of K2MnAlAg.

abc: 6.351 4.829 6.351
angles: 90.00 90.00 90.00
Last column: magnetic moment on the atom in μB.
Sites, in units of the cell vectors:
K1 0.000 0.000 0.500  0.00
K2 0.500 0.000 0.000  0.01
Mn1 0.000 0.000 0.000  3.68
Ag1 0.500 0.500 0.500  -0.01
Al1 0.000 0.500 0.000  -0.09

Values from the calculation:
ΔE_f = 0.73 eV per atom

A plane-wave DFT calculation with PBE was carried out for a relaxed structure of HfMnZn2Pt.

abc: 4.611 4.674 4.611
angles: 90.00 90.00 90.00
Last column: magnetic moment on the atom in μB.
Sites, in units of the cell vectors:
Hf1 0.500 0.500 0.500  -0.07
Zn1 0.500 0.000 0.000  0.00
Zn2 0.000 0.000 0.500  0.00
Mn1 0.000 0.500 0.000  -0.12
Pt1 0.000 0.000 0.000  -0.03

Values from the calculation:
ΔE_f = 0.75 eV per atom

Number 1: raw total energy -7.36 eV per atom. Number 2: raw total energy -8.69 eV per atom. Number 3: raw total energy -4.59 eV per atom. Number 4: raw total energy -6.42 eV per atom. Number 5: raw total energy -6.31 eV per atom. Number 6: raw total energy -5.43 eV per atom. Number 7: raw total energy -2.86 eV per atom. Number 8: raw total energy -4.79 eV per atom.